{
  "formula": "CeBeGa",
  "functional": "PBE-GGA",
  "state": "relaxed",
  "ef_ev_per_atom": -0.2732,
  "relative_energy_ev_per_atom": 0.0000,
  "cell": [[4.1720, 0.0000, 0.0000], [0.0000, 4.0417, 0.0000], [0.0000, -2.0208, 3.5002]],
  "species": ["Be", "Ga", "Ce"],
  "frac_coords": [[0.1665, 0.0000, 0.0000], [0.1667, 0.3333, 0.6667], [0.6668, 0.6667, 0.3333]]
}